(1)
This record from the Alexandria database describes an optimized crystal structure of Zr2NiCl. The functional is PBEsol.

Output
The energy above the most stable polymorph in this dataset is 0.0 meV/atom. The calculation puts the formation energy without anion corrections at -217 kJ/mol of formula units. As for the total energy: -28.60 eV for the cell shown.

Unit cell a=3.192 b=4.126 c=5.200 alpha=90.00 beta=90.00 gamma=90.00
Atoms (fractional coordinates):
Zr (0.875, 0.500, 0.000)
Zr (0.375, 0.000, 0.500)
Ni (0.875, 0.500, 0.500)
Cl (0.375, 0.000, 0.000)

---

(2)
This record from the Alexandria database describes an optimized crystal structure of Zr2NiCl. The functional is PBEsol.

Output
The energy above the most stable polymorph in this dataset is 259.9 meV/atom. The calculation puts the formation energy without anion corrections at -117 kJ/mol of formula units. As for the total energy: -27.56 eV for the cell shown.

Unit cell a=4.545 b=4.545 c=4.545 alpha=60.00 beta=60.00 gamma=60.00
Atoms (fractional coordinates):
Zr (0.750, 0.750, 0.750)
Zr (0.250, 0.250, 0.250)
Cl (0.000, 0.000, 0.000)
Ni (0.500, 0.500, 0.500)

---

(3)
This record from the Alexandria database describes an optimized crystal structure of Zr2NiCl. The functional is PBEsol.

Output
The energy above the most stable polymorph in this dataset is 66.4 meV/atom. The calculation puts the formation energy without anion corrections at -192 kJ/mol of formula units. As for the total energy: -28.33 eV for the cell shown.

Unit cell a=3.284 b=3.263 c=6.988 alpha=103.50 beta=103.59 gamma=90.00
Atoms (fractional coordinates):
Zr (0.052, 0.052, 0.103)
Zr (0.791, 0.291, 0.582)
Cl (0.453, 0.453, 0.906)
Ni (0.204, 0.704, 0.409)

---

(4)
This record from the Alexandria database describes an optimized crystal structure of Zr2NiCl. The functional is PBEsol.

Output
The energy above the most stable polymorph in this dataset is 21.9 meV/atom. The calculation puts the formation energy without anion corrections at -209 kJ/mol of formula units. As for the total energy: -28.51 eV for the cell shown.

Unit cell a=3.634 b=3.629 c=5.215 alpha=90.00 beta=90.00 gamma=90.00
Atoms (fractional coordinates):
Cl (0.000, 0.000, 0.375)
Zr (0.500, 0.500, 0.375)
Zr (0.000, 0.000, 0.875)
Ni (0.500, 0.500, 0.875)

---

(5)
This record from the Alexandria database describes an optimized crystal structure of ZrNiCl3. The functional is PBEsol.

Output
The energy above the most stable polymorph in this dataset is 92.0 meV/atom. The calculation puts the formation energy without anion corrections at -100 kJ/mol of formula units. As for the total energy: -22.31 eV for the cell shown.

Unit cell a=4.515 b=4.515 c=4.515 alpha=90.00 beta=90.00 gamma=90.00
Site moments in Bohr magnetons follow the coordinates.
Atoms (fractional coordinates):
Cl (0.000, 0.500, 0.000)  -0.03
Cl (0.000, 0.000, 0.500)  -0.03
Cl (0.500, 0.000, 0.000)  -0.03
Zr (0.500, 0.500, 0.500)  1.44
Ni (0.000, 0.000, 0.000)  -0.01

---

(6)
This record from the Alexandria database describes an optimized crystal structure of NpCl4. The functional is PBEsol.

Output
The calculation puts the formation energy without anion corrections at -721 kJ/mol of formula units. As for the total energy: -58.70 eV for the cell shown.

Unit cell a=6.874 b=6.874 c=6.874 alpha=107.09 beta=107.09 gamma=114.34
Site moments in Bohr magnetons follow the coordinates.
Atoms (fractional coordinates):
Cl (0.495, 0.681, 0.813)  -0.06
Cl (0.868, 0.681, 0.187)  -0.06
Cl (0.319, 0.505, 0.187)  -0.06
Cl (0.931, 0.245, 0.313)  -0.06
Cl (0.931, 0.618, 0.687)  -0.06
Cl (0.755, 0.069, 0.687)  -0.06
Cl (0.319, 0.132, 0.813)  -0.06
Cl (0.382, 0.069, 0.313)  -0.06
Np (0.000, 0.000, 0.000)  3.19
Np (0.250, 0.750, 0.500)  3.19